Material: CsZn3Mo
Method: DFT, SCAN
State: PBEsol geometry

Summary:
The calculated density comes out at 5.28 g/cm3. The total energy is -21.994 eV per atom. The energy of formation from the pure elements comes out at 0.654 eV/atom.

Cell lengths 5.1141, 5.1141, 5.1141 Å; angles 90.00, 90.00, 90.00 degrees
Space group Pm-3m (No. 221)
Inequivalent atoms, fractional coordinates:
Cs 0.0000 0.0000 0.0000 x1
Zn 0.0000 0.5000 0.5000 x3
Mo 0.5000 0.5000 0.5000 x1